{
  "formula": "ErRh3",
  "functional": "PBE",
  "state": "relaxed",
  "lattice": [[-1.221, 0.263, 3.864], [0.229, -4.040, 0.348], [4.294, 2.205, -0.928]],
  "species": ["Rh", "Rh", "Rh", "Er"],
  "fractional_positions": [[0.750, 0.250, 0.500], [0.250, 0.750, 0.500], [0.500, 0.500, 0.000], [0.000, 0.000, 0.000]],
  "formation_energy_mev_per_atom": -463,
  "final_energy_ev_per_atom": -7.118
}